Density functional theory data (PBE) for crystalline Ac8Te3Ir3Rh at its relaxed geometry.

Structure (POSCAR):
```
Ac8Te3Ir3Rh
1.0
7.6031 -4.3926 0.0000
7.6031 4.3926 0.0000
-5.0618 0.0000 8.0665
Ac Te Ir Rh
8 3 3 1
Cartesian
-0.0134 0.0000 5.6632
3.8172 2.2141 5.6625
6.3273 2.2141 2.4040
2.5362 0.0000 2.3675
7.6083 0.0000 5.6990
3.8172 -2.2141 5.6625
6.3273 -2.2141 2.4040
10.1579 0.0000 2.4033
0.0000 0.0000 0.0000
3.8016 2.1963 0.0000
3.8016 -2.1963 0.0000
1.2707 2.1963 4.0332
1.2707 -2.1963 4.0332
5.0723 0.0000 4.0332
-2.5309 0.0000 4.0332
```

Output
E, eV per formula unit: -91.05
Space group: C2/m, No. 12


Density functional theory data (PBE) for crystalline Ac6TeIr3Rh2 at its relaxed geometry.

Structure (POSCAR):
```
Ac6TeIr3Rh2
1.0
9.5284 -2.1846 0.0000
9.5284 2.1846 0.0000
-1.9600 0.0000 8.6553
Ac Te Ir Rh
6 1 3 2
Cartesian
-0.5108 0.0000 2.4013
4.3586 0.0000 7.8690
5.5054 0.0000 3.5449
11.5914 0.0000 5.1104
12.7382 0.0000 0.7863
17.6076 0.0000 6.2540
9.5284 0.0000 0.0000
1.4344 0.0000 7.2231
8.5484 0.0000 4.3277
15.6624 0.0000 1.4322
2.5209 0.0000 2.9160
14.5759 0.0000 5.7394
```

Output
E, eV per formula unit: -77.01
Space group: C2/m, No. 12


Density functional theory data (PBE) for crystalline Ac6Te3IrRh2 at its relaxed geometry.

Structure (POSCAR):
```
Ac6Te3IrRh2
1.0
3.8378 -6.6413 0.0000
3.8378 6.6413 0.0000
-2.5498 0.0000 7.9368
Ac Te Ir Rh
6 3 1 2
Cartesian
1.2744 2.2009 1.6626
-0.0074 0.0000 6.2681
1.2744 -2.2009 1.6626
3.8513 2.2009 6.2742
5.1332 0.0000 1.6687
3.8513 -2.2009 6.2742
2.5629 4.4170 3.9684
2.5629 0.0000 3.9684
2.5629 -4.4170 3.9684
0.0000 0.0000 0.0000
3.8378 2.2110 0.0000
3.8378 -2.2110 0.0000
```

Output
E, eV per formula unit: -70.82
Space group: C2/m, No. 12


Density functional theory data (PBE) for crystalline Ac6TlIr3Rh2 at its relaxed geometry.

Structure (POSCAR):
```
Ac6TlIr3Rh2
1.0
9.3054 -2.3047 0.0000
9.3054 2.3047 0.0000
-0.0461 0.0000 7.9045
Ac Tl Ir Rh
6 1 3 2
Cartesian
0.9543 0.0000 2.2966
5.4336 0.0000 6.5643
6.6884 0.0000 2.5482
11.8763 0.0000 5.3563
13.1311 0.0000 1.3402
17.6104 0.0000 5.6079
9.3054 0.0000 0.0000
2.4416 0.0000 7.5119
9.2823 0.0000 3.9522
16.1231 0.0000 0.3926
3.8278 0.0000 3.5365
14.7369 0.0000 4.3680
```

Output
Energy of formation, eV per atom: -0.53
Space group: C2/m, No. 12


Density functional theory data (PBE) for crystalline Ac6Tl3Ir2Rh at its relaxed geometry.

Structure (POSCAR):
```
Ac6Tl3Ir2Rh
1.0
3.7275 -6.4575 0.0000
3.7275 6.4575 0.0000
-2.4922 0.0000 8.6347
Ac Tl Ir Rh
6 3 2 1
Cartesian
-0.0100 2.1577 6.9748
1.2364 0.0000 1.6724
-0.0100 -2.1577 6.9748
4.9727 2.1577 1.6600
3.7263 0.0000 6.9624
4.9727 -2.1577 1.6600
-1.2461 0.0000 4.3174
2.4814 2.1889 4.3174
2.4814 -2.1889 4.3174
3.7275 4.3100 0.0000
3.7275 -4.3100 0.0000
3.7275 0.0000 0.0000
```

Output
Energy of formation, eV per atom: -0.53
Space group: C2/m, No. 12


Density functional theory data (PBE) for crystalline Ac8Tl3Ir3Rh at its relaxed geometry.

Structure (POSCAR):
```
Ac8Tl3Ir3Rh
1.0
7.4752 -4.3358 0.0000
7.4752 4.3358 0.0000
-4.9474 0.0000 8.5094
Ac Tl Ir Rh
8 3 3 1
Cartesian
0.0048 0.0000 5.8933
3.7664 2.1771 5.8983
6.2366 2.1771 2.6110
2.5060 0.0000 2.6202
7.4971 0.0000 5.8892
3.7664 -2.1771 5.8983
6.2366 -2.1771 2.6110
9.9982 0.0000 2.6161
0.0000 0.0000 0.0000
3.7376 2.1679 0.0000
3.7376 -2.1679 0.0000
1.2639 2.1679 4.2547
1.2639 -2.1679 4.2547
5.0015 0.0000 4.2547
-2.4737 0.0000 4.2547
```

Output
Energy of formation, eV per atom: -0.52
Space group: C2/m, No. 12


Density functional theory data (PBE) for crystalline Ac3Zn6IrRh2 at its relaxed geometry.

Structure (POSCAR):
```
Ac3Zn6IrRh2
1.0
6.4241 0.0000 0.0000
-3.2121 5.5634 0.0000
0.0000 0.0000 7.7773
Ac Zn Ir Rh
3 6 1 2
Cartesian
0.0000 0.0000 0.0000
0.0000 3.7090 5.8828
3.2121 1.8545 1.8945
0.0000 2.1608 2.7483
-1.3408 4.4831 2.7483
1.8713 1.0804 5.0290
1.3408 4.4831 2.7483
4.5528 1.0804 5.0290
3.2121 3.4027 5.0290
0.0000 0.0000 3.8886
0.0000 3.7090 0.7981
3.2121 1.8545 6.9792
```

Output
Energy of formation, eV per atom: -0.28
Space group: P-3m1, No. 164


Density functional theory data (PBE) for crystalline Ac2Zn6IrRh at its relaxed geometry.

Structure (POSCAR):
```
Ac2Zn6IrRh
1.0
-3.4191 3.4191 4.8441
3.4191 -3.4191 4.8441
3.4191 3.4191 -4.8441
Ac Zn Ir Rh
2 6 1 1
Cartesian
3.4191 0.0000 2.4221
0.0000 3.4191 2.4221
0.0000 0.0000 2.4121
1.7024 1.7024 0.0000
1.7168 -1.7168 4.8441
-1.7168 1.7168 4.8441
0.0000 0.0000 7.2761
1.7168 1.7168 4.8441
0.0000 0.0000 4.8441
0.0000 0.0000 0.0000
```

Output
Energy of formation, eV per atom: -0.30
Space group: I4/mmm, No. 139


Density functional theory data (PBE) for crystalline AcZn3IrRh at its relaxed geometry.

Structure (POSCAR):
```
AcZn3IrRh
1.0
3.2477 -6.2988 0.0000
3.2477 6.2988 0.0000
0.0000 0.0000 5.6756
Ac Zn Ir Rh
2 6 2 2
Cartesian
3.2477 3.4448 4.2567
3.2477 -3.4448 1.4189
1.2907 0.0000 0.0000
1.2907 0.0000 2.8378
3.2477 1.8339 1.4189
3.2477 -1.8339 4.2567
5.2047 0.0000 0.0000
5.2047 0.0000 2.8378
3.2477 4.4675 1.4189
3.2477 -4.4675 4.2567
3.2477 0.7043 4.2567
3.2477 -0.7043 1.4189
```

Output
Energy of formation, eV per atom: -0.36
Space group: Cmcm, No. 63


Density functional theory data (PBE) for crystalline Ac2Zn4Ir3Rh at its relaxed geometry.

Structure (POSCAR):
```
Ac2Zn4Ir3Rh
1.0
4.3069 0.0000 0.0000
0.0000 4.3069 0.0000
0.0000 0.0000 10.6531
Ac Zn Ir Rh
2 4 3 1
Cartesian
0.0000 2.1535 2.5808
2.1535 0.0000 8.0723
0.0000 0.0000 5.3265
0.0000 2.1535 9.3003
2.1535 0.0000 1.3528
2.1535 2.1535 5.3265
0.0000 0.0000 0.0000
0.0000 2.1535 6.7691
2.1535 0.0000 3.8840
2.1535 2.1535 0.0000
```

Output
Energy of formation, eV per atom: -0.44
Space group: P-4m2, No. 115


Density functional theory data (PBE) for crystalline AcZnIrRh at its relaxed geometry.

Structure (POSCAR):
```
AcZnIrRh
1.0
0.0000 3.4013 3.4013
3.4013 0.0000 3.4013
3.4013 3.4013 0.0000
Ac Zn Ir Rh
1 1 1 1
Cartesian
0.0000 0.0000 0.0000
3.4013 3.4013 3.4013
5.1019 5.1019 5.1019
1.7006 1.7006 1.7006
```

Output
Energy of formation, eV per atom: -0.17
Space group: F-43m, No. 216


Density functional theory data (PBE) for crystalline Ac2ZnIr2Rh5 at its relaxed geometry.

Structure (POSCAR):
```
Ac2ZnIr2Rh5
1.0
9.8654 0.0000 0.0000
0.0000 9.8654 0.0000
0.0000 0.0000 3.8930
Ac Zn Ir Rh
4 2 4 10
Cartesian
1.6960 3.2367 0.0000
3.2367 8.1694 0.0000
6.6287 1.6960 0.0000
8.1694 6.6287 0.0000
0.0000 0.0000 0.0000
4.9327 4.9327 0.0000
1.2740 6.2068 0.0000
3.6587 1.2740 0.0000
6.2068 8.5914 0.0000
8.5914 3.6587 0.0000
0.0000 4.9327 1.9465
0.5883 7.9493 1.9465
1.9162 0.5883 1.9465
3.0166 5.5210 1.9465
4.3444 3.0166 1.9465
4.9327 0.0000 1.9465
5.5210 6.8489 1.9465
6.8489 4.3444 1.9465
7.9493 9.2772 1.9465
9.2772 1.9162 1.9465
```

Output
Energy of formation, eV per atom: -0.19
Space group: P4/mbm, No. 127


Density functional theory data (PBE) for crystalline Ac12Ir5Ru3 at its relaxed geometry.

Structure (POSCAR):
```
Ac12Ir5Ru3
1.0
-8.8437 8.8437 8.8437
8.8437 -8.8437 8.8437
8.8437 8.8437 -8.8437
Ac Ir Ru
48 20 12
Cartesian
2.6889 -0.4217 1.1986
10.5768 5.6205 -4.8436
8.4220 -1.1986 2.6889
13.6873 -1.7330 3.2233
11.5326 0.4217 1.1986
10.5768 -3.2233 4.8436
1.1986 2.6889 -0.4217
12.0670 4.0001 -1.7330
5.6205 4.8436 -1.7330
7.6452 2.6889 0.4217
-0.4217 1.1986 2.6889
4.8436 -1.7330 5.6205
8.4220 7.6452 -2.6889
4.8436 1.7330 3.2233
7.6452 -2.6889 8.4220
5.6205 -4.8436 10.5768
3.2233 4.8436 1.7330
10.0423 6.1549 0.4217
2.6889 8.4220 -1.1986
10.5768 3.2233 4.0001
4.8436 10.5768 -3.2233
8.4220 1.1986 6.1549
1.7330 3.2233 4.8436
2.6889 0.4217 7.6452
6.1549 8.4220 1.1986
7.1107 5.6205 4.0001
0.4217 7.6452 2.6889
4.0001 -1.7330 12.0670
-1.7330 5.6205 4.8436
6.1549 0.4217 10.0423
-1.1986 2.6889 8.4220
5.6205 4.0001 7.1107
3.2233 13.6873 -1.7330
1.1986 11.5326 0.4217
4.0001 7.1107 5.6205
0.4217 1.1986 11.5326
4.0001 10.5768 3.2233
9.2655 7.6452 6.1549
1.1986 6.1549 8.4220
3.2233 4.0001 10.5768
-3.2233 4.8436 10.5768
7.6452 6.1549 9.2655
-1.7330 12.0670 4.0001
-2.6889 8.4220 7.6452
-4.8436 10.5768 5.6205
0.4217 10.0423 6.1549
-1.7330 3.2233 13.6873
6.1549 9.2655 7.6452
0.0000 0.0000 0.0000
4.4219 4.4219 -4.4219
4.4219 -4.4219 4.4219
8.8437 0.0000 0.0000
13.2656 2.2109 0.0000
8.8437 -4.4219 6.6328
6.6328 8.8437 -4.4219
6.6328 0.0000 4.4219
4.4219 6.6328 0.0000
8.8437 4.4219 2.2109
-4.4219 4.4219 4.4219
0.0000 8.8437 0.0000
0.0000 0.0000 8.8437
4.4219 4.4219 4.4219
0.0000 4.4219 6.6328
4.4219 2.2109 8.8437
2.2109 8.8437 4.4219
2.2109 0.0000 13.2656
0.0000 13.2656 2.2109
-4.4219 6.6328 8.8437
4.4219 2.2109 0.0000
8.8437 4.4219 -2.2109
2.2109 0.0000 4.4219
11.0547 0.0000 4.4219
0.0000 4.4219 2.2109
4.4219 -2.2109 8.8437
4.4219 11.0547 0.0000
8.8437 4.4219 6.6328
-2.2109 8.8437 4.4219
6.6328 8.8437 4.4219
0.0000 4.4219 11.0547
4.4219 6.6328 8.8437
```

Output
Energy of formation, eV per atom: -0.10
Space group: Ia-3d, No. 230


Density functional theory data (PBE) for crystalline Ac6IrRu at its relaxed geometry.

Structure (POSCAR):
```
Ac6IrRu
1.0
3.6385 2.1007 6.9745
-3.6385 2.1007 6.9745
0.0000 -4.2013 6.9745
Ac Ir Ru
6 1 1
Cartesian
-1.1735 -2.0941 8.7375
-2.4003 -0.0307 12.1859
-1.2268 2.0633 8.7375
1.2268 -2.0633 12.1859
2.4003 0.0307 8.7375
1.1735 2.0941 12.1859
0.0000 0.0000 0.0000
0.0000 0.0000 10.4617
```

Output
Energy of formation, eV per atom: -0.30
Space group: R-3, No. 148


Density functional theory data (PBE) for crystalline Ac6Ir2Ru at its relaxed geometry.

Structure (POSCAR):
```
Ac6Ir2Ru
1.0
9.1871 -2.1988 0.0000
9.1871 2.1988 0.0000
-1.2896 0.0000 8.2599
Ac Ir Ru
6 2 1
Cartesian
-0.2573 0.0000 1.9645
5.5127 0.0000 3.5099
5.0482 0.0000 7.5097
12.0365 0.0000 0.7501
11.5719 0.0000 4.7499
17.3420 0.0000 6.2954
2.6388 0.0000 2.7656
14.4458 0.0000 5.4942
9.1871 0.0000 0.0000
```

Output
Energy of formation, eV per atom: -0.46
Space group: C2/m, No. 12


Density functional theory data (PBE) for crystalline Ac8Ir2Ru3 at its relaxed geometry.

Structure (POSCAR):
```
Ac8Ir2Ru3
1.0
8.0181 -4.0570 0.0000
8.0181 4.0570 0.0000
-2.7926 0.0000 6.7433
Ac Ir Ru
8 2 3
Cartesian
0.4463 0.0000 2.8720
5.8712 2.0666 0.5593
7.3725 2.0666 6.1841
4.2827 0.0000 3.8208
8.9609 0.0000 2.9225
5.8712 -2.0666 0.5593
7.3725 -2.0666 6.1841
12.7973 0.0000 3.8713
1.8004 0.0000 5.5307
11.4433 0.0000 1.2126
0.0000 0.0000 0.0000
6.6218 1.5232 3.3717
6.6218 -1.5232 3.3717
```

Output
Energy of formation, eV per atom: -0.26
Space group: C2/m, No. 12


Density functional theory data (PBE) for crystalline Ac8Ir3Ru at its relaxed geometry.

Structure (POSCAR):
```
Ac8Ir3Ru
1.0
7.1369 -4.4073 0.0000
7.1369 4.4073 0.0000
-4.3982 0.0000 7.1239
Ac Ir Ru
8 3 1
Cartesian
2.3488 0.0000 1.7947
3.7348 2.2268 5.3957
6.1408 2.2268 1.7282
0.3878 0.0000 5.2986
9.4877 0.0000 1.8253
3.7348 -2.2268 5.3957
6.1408 -2.2268 1.7282
7.5267 0.0000 5.3292
1.3694 2.2037 3.5620
1.3694 -2.2037 3.5620
7.1369 0.0000 0.0000
0.0000 0.0000 0.0000
```

Output
Energy of formation, eV per atom: -0.49
Space group: C2/m, No. 12


Density functional theory data (PBE) for crystalline Ac8Ir4Ru at its relaxed geometry.

Structure (POSCAR):
```
Ac8Ir4Ru
1.0
10.3710 -2.1986 0.0000
10.3710 2.1986 0.0000
-8.5913 0.0000 10.9015
Ac Ir Ru
8 4 1
Cartesian
0.0000 0.0000 0.0000
-5.7336 0.0000 8.1289
-1.9655 0.0000 9.8455
3.8691 0.0000 4.5410
7.4607 0.0000 6.2890
10.5999 0.0000 3.4761
13.6667 0.0000 0.8826
17.4782 0.0000 2.5577
1.8498 0.0000 2.4801
8.5856 0.0000 1.2384
6.5533 0.0000 9.0969
16.0910 0.0000 5.2365
3.4852 0.0000 9.5702
```

Output
Energy of formation, eV per atom: -0.40
Space group: Cm, No. 8